# Sr4ZrCo

Sr4ZrCo after structural relaxation (PBE-GGA, the Alexandria database).

## Properties
The value obtained for the total magnetization is 5.3 μB/f.u. Its formation energy is 1215 meV/atom. The calculation puts the volume at 958.7 Å³ per cell.

Cell: 9.860 9.860 9.860 Å, 90.00 90.00 90.00°
Space group F-43m (No. 216)
One atom of each set of equivalent atoms:
Sr 0.125 0.125 0.125 (multiplicity 16)
Zr 0.250 0.250 0.750 (multiplicity 4)
Co 0.000 0.000 0.500 (multiplicity 4)

# SrZr4Co

SrZr4Co after structural relaxation (PBE-GGA, the Alexandria database).

## Properties
The value obtained for the total magnetization is 1.0 μB/f.u. Its formation energy is 742 meV/atom. The calculation puts the volume at 589.7 Å³ per cell.

Cell: 8.386 8.386 8.386 Å, 90.00 90.00 90.00°
Space group F-43m (No. 216)
One atom of each set of equivalent atoms:
Sr 0.000 0.000 0.000 (multiplicity 4)
Zr 0.124 0.124 0.624 (multiplicity 16)
Co 0.250 0.250 0.250 (multiplicity 4)

# Ta5Co3

Ta5Co3 after structural relaxation (PBE-GGA, the Alexandria database).

## Properties
The value obtained for the total magnetization is 0.0 μB/f.u. Its formation energy is -98 meV/atom. The calculation puts the volume at 247.9 Å³ per cell. For the relative energy among the computed polymorphs, the calculation gives 46 meV per atom.

Cell: 7.5204 7.5204 5.0622 Å, 90.00 90.00 120.00°
Space group P6_3/mcm (No. 193)
One atom of each set of equivalent atoms:
Ta 0.0000 0.2454 0.2500 (multiplicity 6)
Ta 0.3333 0.6667 0.0000 (multiplicity 4)
Co 0.0000 0.4008 0.7500 (multiplicity 6)

# TaCo6

TaCo6 after structural relaxation (PBE-GGA, the Alexandria database).

## Properties
The value obtained for the total magnetization is 0.0 μB/f.u. Its formation energy is 1151 meV/atom. The calculation puts the volume at 202.7 Å³ per cell. For the relative energy among the computed polymorphs, the calculation gives 1162 meV per atom.

Cell: 5.874 5.874 5.874 Å, 90.00 90.00 90.00°
Space group Im-3m (No. 229)
One atom of each set of equivalent atoms:
Ta 0.000 0.000 0.000 (multiplicity 2)
Co 0.000 0.250 0.500 (multiplicity 12)

# Ta5Co3

Ta5Co3 after structural relaxation (PBE-GGA, the Alexandria database).

## Properties
The value obtained for the total magnetization is 0.0 μB/f.u. Its formation energy is -144 meV/atom. The calculation puts the volume at 492.0 Å³ per cell. For the relative energy among the computed polymorphs, the calculation gives 0 meV per atom.

Cell: 10.844 9.915 5.033 Å, 90.00 114.58 90.00°
Space group C2/c (No. 15)
One atom of each set of equivalent atoms:
Ta 0.000 0.008 0.250 (multiplicity 4)
Ta 0.080 0.286 0.572 (multiplicity 8)
Ta 0.214 0.422 0.204 (multiplicity 8)
Co 0.000 0.498 0.750 (multiplicity 4)
Co 0.171 0.171 0.146 (multiplicity 8)

# Ta4Co3

Ta4Co3 after structural relaxation (PBE-GGA, the Alexandria database).

## Properties
The value obtained for the total magnetization is 0.0 μB/f.u. Its formation energy is -105 meV/atom. The calculation puts the volume at 209.2 Å³ per cell. For the relative energy among the computed polymorphs, the calculation gives 80 meV per atom.

Cell: 3.131 3.131 21.339 Å, 90.00 90.00 90.00°
Space group I4/mmm (No. 139)
One atom of each set of equivalent atoms:
Ta 0.000 0.000 0.071 (multiplicity 4)
Ta 0.000 0.000 0.341 (multiplicity 4)
Co 0.000 0.000 0.216 (multiplicity 4)
Co 0.000 0.000 0.500 (multiplicity 2)

# TaCo3

TaCo3 after structural relaxation (PBE-GGA, the Alexandria database).

## Properties
The value obtained for the total magnetization is 2.2 μB/f.u. Its formation energy is -161 meV/atom. The calculation puts the volume at 147.6 Å³ per cell.

Cell: 4.7113 4.7113 7.6779 Å, 90.00 90.00 120.00°
Space group P3m1 (No. 156)
One atom of each set of equivalent atoms:
Ta 0.0000 0.0000 0.0000 (multiplicity 1)
Ta 0.0000 0.0000 0.3824 (multiplicity 1)
Ta 0.3333 0.6667 0.8374 (multiplicity 1)
Co 0.0086 0.5043 0.1816 (multiplicity 3)
Co 0.3299 0.1649 0.6799 (multiplicity 3)
Co 0.3333 0.6667 0.4883 (multiplicity 1)
Co 0.6667 0.3333 0.4310 (multiplicity 1)
Co 0.6667 0.3333 0.9347 (multiplicity 1)

# TaCo3

TaCo3 after structural relaxation (PBE-GGA, the Alexandria database).

## Properties
The value obtained for the total magnetization is 2.1 μB/f.u. Its formation energy is 2116 meV/atom. The calculation puts the volume at 94.5 Å³ per cell.

Cell: 4.555 4.555 4.555 Å, 90.00 90.00 90.00°
Space group Pm-3m (No. 221)
One atom of each set of equivalent atoms:
Ta 0.000 0.000 0.000 (multiplicity 1)
Co 0.000 0.000 0.500 (multiplicity 3)

# TaCo3

TaCo3 after structural relaxation (PBE-GGA, the Alexandria database).

## Properties
The value obtained for the total magnetization is 4.1 μB/f.u. Its formation energy is 214 meV/atom. The calculation puts the volume at 51.9 Å³ per cell.

Cell: 2.6839 2.6839 8.3183 Å, 90.00 90.00 120.00°
Space group P-6m2 (No. 187)
One atom of each set of equivalent atoms:
Ta 0.0000 0.0000 0.0000 (multiplicity 1)
Co 0.0000 0.0000 0.5000 (multiplicity 1)
Co 0.6667 0.3333 0.2704 (multiplicity 2)

# TaCo3

TaCo3 after structural relaxation (PBE-GGA, the Alexandria database).

## Properties
The value obtained for the total magnetization is 3.2 μB/f.u. Its formation energy is 119 meV/atom. The calculation puts the volume at 152.4 Å³ per cell.

Cell: 8.1916 8.1916 2.6232 Å, 90.00 90.00 120.00°
Space group R-3m (No. 166, hexagonal axes)
One atom of each set of equivalent atoms:
Ta 0.0000 0.0000 0.0000 (multiplicity 3)
Co 0.0000 0.5000 0.0000 (multiplicity 9)

# TaCo6

TaCo6 after structural relaxation (PBE-GGA, the Alexandria database).

## Properties
The value obtained for the total magnetization is 7.6 μB/f.u. Its formation energy is -11 meV/atom. The calculation puts the volume at 334.1 Å³ per cell. For the relative energy among the computed polymorphs, the calculation gives 0 meV per atom.

Cell: 7.576 4.617 9.553 Å, 90.00 90.00 90.00°
Space group Pnma (No. 62)
One atom of each set of equivalent atoms:
Ta 0.246 0.250 0.062 (multiplicity 4)
Co 0.053 0.750 0.080 (multiplicity 4)
Co 0.069 0.010 0.307 (multiplicity 8)
Co 0.100 0.250 0.522 (multiplicity 4)
Co 0.137 0.750 0.849 (multiplicity 4)
Co 0.186 0.250 0.757 (multiplicity 4)

# Ta3Co2

Ta3Co2 after structural relaxation (PBE-GGA, the Alexandria database).

## Properties
The value obtained for the total magnetization is 0.0 μB/f.u. Its formation energy is 26 meV/atom. The calculation puts the volume at 612.2 Å³ per cell. For the relative energy among the computed polymorphs, the calculation gives 0 meV per atom.

Cell: 9.608 12.658 5.034 Å, 90.00 90.00 90.00°
Space group Fdd2 (No. 43)
One atom of each set of equivalent atoms:
Ta 0.000 0.000 0.000 (multiplicity 8)
Ta 0.064 0.107 0.510 (multiplicity 16)
Co 0.031 0.199 0.974 (multiplicity 16)

# TaCo3

TaCo3 after structural relaxation (PBE-GGA, the Alexandria database).

## Properties
The value obtained for the total magnetization is 0.0 μB/f.u. Its formation energy is -233 meV/atom. The calculation puts the volume at 432.3 Å³ per cell.

Cell: 5.1590 5.1590 18.7537 Å, 90.00 90.00 120.00°
Space group R-3m (No. 166, hexagonal axes)
One atom of each set of equivalent atoms:
Ta 0.0000 0.0000 0.0000 (multiplicity 3)
Ta 0.0000 0.0000 0.2187 (multiplicity 6)
Co 0.0000 0.5000 0.0000 (multiplicity 9)
Co 0.0186 0.5093 0.2232 (multiplicity 18)